(1)
VASP calculation (PBE) on a relaxed Pa3Ge crystal.

Properties
The value obtained for the magnetization is 0.0 μB per cell. The calculation puts the formation energy at -0.297 eV per atom. The value obtained for the excess energy over the best structure of this formula in the dataset is 0.0000 eV/atom.

Cell: 4.4852 4.4852 4.4991 Å, 90.00 90.00 90.00°
Closest atoms and distances in Å follow each position.
Atoms (fractional coordinates):
1 Pa 0.0000 0.0000 0.0000  4 Ge 3.17, 8 Pa 3.18
2 Pa 0.0000 0.5000 0.5000  8 Pa 3.17-3.18, 4 Ge 3.18
3 Pa 0.5000 0.0000 0.5000  8 Pa 3.17-3.18, 4 Ge 3.18
4 Ge 0.5000 0.5000 0.0000  12 Pa 3.17-3.18

(2)
VASP calculation (PBE) on a relaxed PaGe3 crystal.

Properties
The value obtained for the magnetization is 0.0 μB per cell. The calculation puts the formation energy at -0.304 eV per atom. The value obtained for the excess energy over the best structure of this formula in the dataset is 0.1549 eV/atom.

Cell: 5.5382 5.5382 5.5382 Å, 136.27 136.27 63.57°
Closest atoms and distances in Å follow each position.
Atoms (fractional coordinates):
1 Pa 0.0000 0.0000 0.0000  12 Ge 2.92-3.13
2 Ge 0.2500 0.7500 0.5000  8 Ge 2.92-3.13, 4 Pa 3.13
3 Ge 0.5000 0.5000 0.0000  4 Pa 2.92, 8 Ge 3.13
4 Ge 0.7500 0.2500 0.5000  8 Ge 2.92-3.13, 4 Pa 3.13